Here is an optimized crystal structure of Er2UNbN4 from Alexandria. Energies are from PBE.

Cell lengths 5.7048, 3.3538, 5.8350 Å; angles 90.00, 108.95, 90.00 degrees
Space group P2/m (No. 10)
Unique sites:
Er 0.0000 0.0000 0.0000
Er 0.5000 0.5000 0.0000
U 0.0000 0.5000 0.5000
Nb 0.5000 0.0000 0.5000
N 0.2472 0.0000 0.7402
N 0.2534 0.5000 0.2661

## Properties
**Raw formation energy**: -1.49 eV/atom
**Density of states at the Fermi level**: 4.92 states/eV/f.u.
**Calculated total energy**: -75.70 eV per cell

Here is an optimized crystal structure of Na2Mg2Tl3 from Alexandria. Energies are from PBE.

Cell lengths 5.1281, 5.4204, 7.9384 Å; angles 101.28, 94.58, 117.98 degrees
Space group P-1 (No. 2)
Unique sites:
Na 0.2197 0.4136 0.1498
Mg 0.3474 0.7574 0.5948
Tl 0.0628 0.1789 0.7043
Tl 0.5000 0.0000 0.0000

## Properties
**ΔH_f (0 K)**: -0.06 eV per atom
**Density of states at the Fermi level**: 1.96 states/eV/f.u.
**Calculated total energy**: -13.38 eV per cell

Here is an optimized crystal structure of Cd2CoTe from Alexandria. Energies are from PBE.

Cell lengths 4.2634, 3.1844, 6.7922 Å; angles 90.00, 108.21, 90.00 degrees
Space group Pm (No. 6)
Unique sites:
Cd 0.0000 0.0000 0.0000
Cd 0.3458 0.5000 0.6909
Co 0.7987 0.0000 0.5961
Te 0.6503 0.5000 0.2999

## Properties
**Raw formation energy**: 0.10 eV/atom
**Density of states at the Fermi level**: 2.55 states/eV/f.u.
**Calculated total energy**: -11.68 eV per cell

Here is an optimized crystal structure of ErGa6Co from Alexandria. Energies are from PBE.

Cell lengths 3.9458, 7.5752, 9.2700 Å; angles 90.00, 90.00, 90.00 degrees
Space group Amm2 (No. 38)
Unique sites:
Er 0.0000 0.0000 0.0000
Ga 0.0000 0.2324 0.2611
Ga 0.5000 0.0000 0.2358
Ga 0.5000 0.0000 0.7652
Ga 0.5000 0.1846 0.4938
Co 0.0000 0.0000 0.6080

## Properties
**ΔH_f (0 K)**: -0.24 eV per atom
**Density of states at the Fermi level**: 3.75 states/eV/f.u.
**Calculated total energy**: -63.52 eV per cell

Here is an optimized crystal structure of La4Cd3Hg from Alexandria. Energies are from PBE.

Cell lengths 3.9321, 3.9321, 15.7160 Å; angles 90.00, 90.00, 90.00 degrees
Space group P4/mmm (No. 123)
Unique sites:
La 0.0000 0.0000 0.1230
La 0.0000 0.0000 0.3742
Cd 0.5000 0.5000 0.2500
Cd 0.5000 0.5000 0.5000
Hg 0.5000 0.5000 0.0000

## Properties
**ΔH_f (0 K)**: -0.37 eV per atom
**Density of states at the Fermi level**: 10.70 states/eV/f.u.
**Calculated total energy**: -25.73 eV per cell

Here is an optimized crystal structure of Li6Al10Ag from Alexandria. Energies are from PBE.

Cell lengths 7.5991, 7.5991, 5.4857 Å; angles 90.00, 90.00, 120.00 degrees
Space group P-31m (No. 162)
Unique sites:
Li 0.0000 0.3513 0.3331
Al 0.0000 0.2984 0.8326
Al 0.3333 0.6667 0.0000
Al 0.3333 0.6667 0.5000
Ag 0.0000 0.0000 0.5000

## Properties
**ΔH_f (0 K)**: -0.04 eV per atom
**Density of states at the Fermi level**: 7.24 states/eV/f.u.
**Calculated total energy**: -52.44 eV per cell

Copy entry 2 word for word.
Here is an optimized crystal structure of Na2Mg2Tl3 from Alexandria. Energies are from PBE.

Cell lengths 5.1281, 5.4204, 7.9384 Å; angles 101.28, 94.58, 117.98 degrees
Space group P-1 (No. 2)
Unique sites:
Na 0.2197 0.4136 0.1498
Mg 0.3474 0.7574 0.5948
Tl 0.0628 0.1789 0.7043
Tl 0.5000 0.0000 0.0000

## Properties
**ΔH_f (0 K)**: -0.06 eV per atom
**Density of states at the Fermi level**: 1.96 states/eV/f.u.
**Calculated total energy**: -13.38 eV per cell

Question: Which of these has the lowest calculated total energy?
Answer: Er2UNbN4

Question: Among the records above, which one has the highest density of states at the Fermi level?
Answer: La4Cd3Hg

Question: The highest calculated total energy belongs to which entry?
Answer: Cd2CoTe